Record 1
VASP calculation (PBE-GGA) on LiNbTlCl6 after structural relaxation.

```
data_LiNbTlCl6
_chemical_formula_sum 'Li2 Nb2 Tl2 Cl12'
_cell_length_a 6.6097
_cell_length_b 6.6097
_cell_length_c 13.9700
_cell_angle_alpha 90.00
_cell_angle_beta 90.00
_cell_angle_gamma 120.00
_symmetry_space_group_name_H-M 'P -3 1 c'
_symmetry_Int_Tables_number 163
_symmetry_space_group_name_Hall '-P 3 2c'
loop_
_atom_site_label
_atom_site_fract_x
_atom_site_fract_y
_atom_site_fract_z
Li1 0.3333 0.6667 0.2500
Nb1 0.3333 0.6667 0.7500
Tl1 0.0000 0.0000 0.0000
Cl1 0.0168 0.3826 0.6490
```

Calculated values
Raw total energy (eV per atom): -4.142
N(E_F) (states/eV/atom): 0.76
Magnetization (μB per atom): 0.11

***

Record 2
VASP calculation (PBE-GGA) on Li2NbTlCl8 after structural relaxation.

```
data_Li2NbTlCl8
_chemical_formula_sum 'Li2 Nb1 Tl1 Cl8'
_cell_length_a 6.2172
_cell_length_b 6.3332
_cell_length_c 9.0130
_cell_angle_alpha 89.94
_cell_angle_beta 89.94
_cell_angle_gamma 78.39
_symmetry_space_group_name_H-M 'P -1'
_symmetry_Int_Tables_number 2
_symmetry_space_group_name_Hall '-P 1'
loop_
_atom_site_label
_atom_site_fract_x
_atom_site_fract_y
_atom_site_fract_z
Li1 0.9998 0.9999 0.1667
Nb1 0.5000 0.5000 0.5000
Tl1 0.5000 0.5000 0.0000
Cl1 0.1826 0.1765 0.9999
Cl2 0.2723 0.6997 0.6898
Cl3 0.2727 0.7001 0.3102
Cl4 0.2767 0.2435 0.5001
```

Calculated values
Raw total energy (eV per atom): -3.917
Magnetization (μB per atom): 0.00

***

Record 3
VASP calculation (PBE-GGA) on Li2NbWCl after structural relaxation.

```
data_Li2NbWCl
_chemical_formula_sum 'Li2 Nb1 W1 Cl1'
_cell_length_a 5.5000
_cell_length_b 5.5000
_cell_length_c 4.6480
_cell_angle_alpha 90.00
_cell_angle_beta 90.00
_cell_angle_gamma 90.00
_symmetry_space_group_name_H-M 'P 4/m m m'
_symmetry_Int_Tables_number 123
_symmetry_space_group_name_Hall '-P 4 2'
loop_
_atom_site_label
_atom_site_fract_x
_atom_site_fract_y
_atom_site_fract_z
Li1 0.0000 0.5000 0.0000
Nb1 0.0000 0.0000 0.0000
W1 0.0000 0.0000 0.5000
Cl1 0.5000 0.5000 0.5000
```

Calculated values
Raw total energy (eV per atom): -4.373
N(E_F) (states/eV/atom): 0.52
Magnetization (μB per atom): 0.01

***

Record 4
VASP calculation (PBE-GGA) on LiZr2NbCl after structural relaxation.

```
data_LiZr2NbCl
_chemical_formula_sum 'Li1 Zr2 Nb1 Cl1'
_cell_length_a 5.0380
_cell_length_b 5.0380
_cell_length_c 3.8522
_cell_angle_alpha 90.00
_cell_angle_beta 90.00
_cell_angle_gamma 90.00
_symmetry_space_group_name_H-M 'P 4/m m m'
_symmetry_Int_Tables_number 123
_symmetry_space_group_name_Hall '-P 4 2'
loop_
_atom_site_label
_atom_site_fract_x
_atom_site_fract_y
_atom_site_fract_z
Li1 0.0000 0.0000 0.0000
Zr1 0.0000 0.5000 0.0000
Nb1 0.5000 0.5000 0.5000
Cl1 0.0000 0.0000 0.5000
```

Calculated values
Raw total energy (eV per atom): -5.509
N(E_F) (states/eV/atom): 1.50
Magnetization (μB per atom): 0.00

***

Record 5
VASP calculation (PBE-GGA) on LiNdCl2 after structural relaxation.

```
data_LiNdCl2
_chemical_formula_sum 'Li3 Nd3 Cl6'
_cell_length_a 3.8284
_cell_length_b 3.8284
_cell_length_c 24.7162
_cell_angle_alpha 90.00
_cell_angle_beta 90.00
_cell_angle_gamma 120.00
_symmetry_space_group_name_H-M 'R -3 m'
_symmetry_Int_Tables_number 166
_symmetry_space_group_name_Hall '-R 3 2"'
loop_
_atom_site_label
_atom_site_fract_x
_atom_site_fract_y
_atom_site_fract_z
Li1 0.0000 0.0000 0.0000
Nd1 0.0000 0.0000 0.5000
Cl1 0.0000 0.0000 0.3894
```

Calculated values
Raw total energy (eV per atom): -4.091
N(E_F) (states/eV/atom): 0.32
Magnetization (μB per atom): 0.00

***

Record 6
VASP calculation (PBE-GGA) on LiNd2Cl after structural relaxation.

```
data_LiNd2Cl
_chemical_formula_sum 'Li3 Nd6 Cl3'
_cell_length_a 3.5012
_cell_length_b 3.5012
_cell_length_c 33.6971
_cell_angle_alpha 90.00
_cell_angle_beta 90.00
_cell_angle_gamma 120.00
_symmetry_space_group_name_H-M 'R -3 m'
_symmetry_Int_Tables_number 166
_symmetry_space_group_name_Hall '-R 3 2"'
loop_
_atom_site_label
_atom_site_fract_x
_atom_site_fract_y
_atom_site_fract_z
Li1 0.0000 0.0000 0.0000
Nd1 0.0000 0.0000 0.0988
Cl1 0.0000 0.0000 0.5000
```

Calculated values
Raw total energy (eV per atom): -3.768
N(E_F) (states/eV/atom): 1.24
Magnetization (μB per atom): 0.00

***

Record 7
VASP calculation (PBE-GGA) on Li2Nd2Cl7 after structural relaxation.

```
data_Li2Nd2Cl7
_chemical_formula_sum 'Li4 Nd4 Cl14'
_cell_length_a 8.5814
_cell_length_b 10.8142
_cell_length_c 7.2921
_cell_angle_alpha 90.00
_cell_angle_beta 99.37
_cell_angle_gamma 90.00
_symmetry_space_group_name_H-M 'C 1 2/m 1'
_symmetry_Int_Tables_number 12
_symmetry_space_group_name_Hall '-C 2y'
loop_
_atom_site_label
_atom_site_fract_x
_atom_site_fract_y
_atom_site_fract_z
Li1 0.2325 0.0000 0.4079
Nd1 0.0000 0.3287 0.0000
Cl1 0.0000 0.0000 0.5000
Cl2 0.0931 0.5000 0.2831
Cl3 0.2408 0.1770 0.1993
```

Calculated values
Raw total energy (eV per atom): -4.328
Magnetization (μB per atom): 0.09

***

Record 8
VASP calculation (PBE-GGA) on Li2NdCl6 after structural relaxation.

```
data_Li2NdCl6
_chemical_formula_sum 'Li4 Nd2 Cl12'
_cell_length_a 13.6169
_cell_length_b 4.7115
_cell_length_c 9.0951
_cell_angle_alpha 90.00
_cell_angle_beta 128.58
_cell_angle_gamma 90.00
_symmetry_space_group_name_H-M 'C 1 2/m 1'
_symmetry_Int_Tables_number 12
_symmetry_space_group_name_Hall '-C 2y'
loop_
_atom_site_label
_atom_site_fract_x
_atom_site_fract_y
_atom_site_fract_z
Li1 0.1670 0.0000 0.1349
Nd1 0.0000 0.0000 0.5000
Cl1 0.0152 0.0000 0.2010
Cl2 0.1287 0.5000 0.5167
Cl3 0.2443 0.5000 0.1596
```

Calculated values
Raw total energy (eV per atom): -3.860
N(E_F) (states/eV/atom): 0.92
Magnetization (μB per atom): 0.12

***

Record 9
VASP calculation (PBE-GGA) on Li3NdCl6 after structural relaxation.

```
data_Li3NdCl6
_chemical_formula_sum 'Li9 Nd3 Cl18'
_cell_length_a 6.6342
_cell_length_b 6.6342
_cell_length_c 18.1491
_cell_angle_alpha 90.00
_cell_angle_beta 90.00
_cell_angle_gamma 120.00
_symmetry_space_group_name_H-M 'R 3'
_symmetry_Int_Tables_number 146
_symmetry_space_group_name_Hall 'R 3'
loop_
_atom_site_label
_atom_site_fract_x
_atom_site_fract_y
_atom_site_fract_z
Li1 0.0000 0.0000 0.0000
Li2 0.0000 0.0000 0.2019
Li3 0.0000 0.0000 0.5019
Nd1 0.0000 0.0000 0.7008
Cl1 0.0095 0.6884 0.6006
Cl2 0.0184 0.3733 0.7703
```

Calculated values
Raw total energy (eV per atom): -4.125
N(E_F) (states/eV/atom): 0.00
Magnetization (μB per atom): 0.00

***

Record 10
VASP calculation (PBE-GGA) on LiNd2Cl6 after structural relaxation.

```
data_LiNd2Cl6
_chemical_formula_sum 'Li2 Nd4 Cl12'
_cell_length_a 13.9994
_cell_length_b 3.6676
_cell_length_c 11.4808
_cell_angle_alpha 90.00
_cell_angle_beta 116.23
_cell_angle_gamma 90.00
_symmetry_space_group_name_H-M 'C 1 2/m 1'
_symmetry_Int_Tables_number 12
_symmetry_space_group_name_Hall '-C 2y'
loop_
_atom_site_label
_atom_site_fract_x
_atom_site_fract_y
_atom_site_fract_z
Li1 0.0000 0.0000 0.0000
Nd1 0.1836 0.5000 0.3011
Cl1 0.0102 0.0000 0.2207
Cl2 0.1558 0.5000 0.5359
Cl3 0.1947 0.0000 0.1161
```

Calculated values
Raw total energy (eV per atom): -4.528
N(E_F) (states/eV/atom): 0.26
Magnetization (μB per atom): 0.00

***

Record 11
VASP calculation (PBE-GGA) on LiNd2Cl6 after structural relaxation.

```
data_LiNd2Cl6
_chemical_formula_sum 'Li2 Nd4 Cl12'
_cell_length_a 6.5468
_cell_length_b 6.5468
_cell_length_c 11.9003
_cell_angle_alpha 90.00
_cell_angle_beta 90.00
_cell_angle_gamma 90.00
_symmetry_space_group_name_H-M 'P 42/m n m'
_symmetry_Int_Tables_number 136
_symmetry_space_group_name_Hall '-P 4n 2n'
loop_
_atom_site_label
_atom_site_fract_x
_atom_site_fract_y
_atom_site_fract_z
Li1 0.0000 0.0000 0.0000
Nd1 0.0000 0.0000 0.3449
Cl1 0.1972 0.1972 0.1613
Cl2 0.2244 0.2244 0.5000
```

Calculated values
Raw total energy (eV per atom): -4.542
N(E_F) (states/eV/atom): 0.01
Magnetization (μB per atom): 0.11

***

Record 12
VASP calculation (PBE-GGA) on Li2NdCl5 after structural relaxation.

```
data_Li2NdCl5
_chemical_formula_sum 'Li8 Nd4 Cl20'
_cell_length_a 12.9129
_cell_length_b 6.9514
_cell_length_c 9.9431
_cell_angle_alpha 90.00
_cell_angle_beta 113.60
_cell_angle_gamma 90.00
_symmetry_space_group_name_H-M 'C 1 2/c 1'
_symmetry_Int_Tables_number 15
_symmetry_space_group_name_Hall '-C 2yc'
loop_
_atom_site_label
_atom_site_fract_x
_atom_site_fract_y
_atom_site_fract_z
Li1 0.1249 0.0293 0.1835
Nd1 0.0000 0.5000 0.0000
Cl1 0.0000 0.3184 0.7500
Cl2 0.0812 0.1563 0.4454
Cl3 0.2060 0.3416 0.1619
```

Calculated values
Raw total energy (eV per atom): -4.235
N(E_F) (states/eV/atom): 0.00
Magnetization (μB per atom): 0.00